No. 1
# PBEsol Dy, optimized geometry
data_Dy
_space_group_name_H-M_alt 'F m -3 m'
_space_group_IT_number 225
_space_group_name_Hall '-F 4 2 3'
_cell_length_a 4.8949
_cell_length_b 4.8949
_cell_length_c 4.8949
_cell_angle_alpha 90.00
_cell_angle_beta 90.00
_cell_angle_gamma 90.00
loop_
_atom_site_label
_atom_site_type_symbol
_atom_site_fract_x
_atom_site_fract_y
_atom_site_fract_z
_atom_site_occupancy
Dy1 Dy 0.0000 0.0000 0.0000 1
# Calculated formation energy   1 kJ/mol of formula units

***

No. 2
# PBEsol Dy3Er, optimized geometry
data_Dy3Er
_space_group_name_H-M_alt 'P m -3 m'
_space_group_IT_number 221
_space_group_name_Hall '-P 4 2 3'
_cell_length_a 4.8809
_cell_length_b 4.8809
_cell_length_c 4.8809
_cell_angle_alpha 90.00
_cell_angle_beta 90.00
_cell_angle_gamma 90.00
loop_
_atom_site_label
_atom_site_type_symbol
_atom_site_fract_x
_atom_site_fract_y
_atom_site_fract_z
_atom_site_occupancy
Dy1 Dy 0.0000 0.0000 0.5000 1
Er1 Er 0.5000 0.5000 0.5000 1
# Calculated formation energy   6 kJ/mol of formula units

***

No. 3
# PBEsol DyErMn4, optimized geometry
data_DyErMn4
_space_group_name_H-M_alt 'F -4 3 m'
_space_group_IT_number 216
_space_group_name_Hall 'F -4 2 3'
_cell_length_a 7.0785
_cell_length_b 7.0785
_cell_length_c 7.0785
_cell_angle_alpha 90.00
_cell_angle_beta 90.00
_cell_angle_gamma 90.00
loop_
_atom_site_label
_atom_site_type_symbol
_atom_site_fract_x
_atom_site_fract_y
_atom_site_fract_z
_atom_site_occupancy
Dy1 Dy 0.0000 0.0000 0.0000 1
Er1 Er 0.2500 0.2500 0.2500 1
Mn1 Mn 0.1249 0.1249 0.6249 1
# Calculated formation energy   74 kJ/mol of formula units

***

No. 4
# PBEsol DyErRu2, optimized geometry
data_DyErRu2
_space_group_name_H-M_alt 'F m -3 m'
_space_group_IT_number 225
_space_group_name_Hall '-F 4 2 3'
_cell_length_a 6.6536
_cell_length_b 6.6536
_cell_length_c 6.6536
_cell_angle_alpha 90.00
_cell_angle_beta 90.00
_cell_angle_gamma 90.00
loop_
_atom_site_label
_atom_site_type_symbol
_atom_site_fract_x
_atom_site_fract_y
_atom_site_fract_z
_atom_site_occupancy
Dy1 Dy 0.0000 0.0000 0.0000 1
Er1 Er 0.0000 0.0000 0.5000 1
Ru1 Ru 0.2500 0.2500 0.2500 1
# Calculated formation energy   -116 kJ/mol of formula units

***

No. 5
# PBEsol DyErTe2, optimized geometry
data_DyErTe2
_space_group_name_H-M_alt 'P 4/m m m'
_space_group_IT_number 123
_space_group_name_Hall '-P 4 2'
_cell_length_a 4.2648
_cell_length_b 4.2648
_cell_length_c 6.0444
_cell_angle_alpha 90.00
_cell_angle_beta 90.00
_cell_angle_gamma 90.00
loop_
_atom_site_label
_atom_site_type_symbol
_atom_site_fract_x
_atom_site_fract_y
_atom_site_fract_z
_atom_site_occupancy
Dy1 Dy 0.0000 0.0000 0.0000 1
Er1 Er 0.5000 0.5000 0.5000 1
Te1 Te 0.0000 0.0000 0.5000 1
Te2 Te 0.5000 0.5000 0.0000 1
# Uncorrected formation energy   -29.81 kcal/mol of atoms

***

No. 6
# PBEsol DyErTl2, optimized geometry
data_DyErTl2
_space_group_name_H-M_alt 'F m -3 m'
_space_group_IT_number 225
_space_group_name_Hall '-F 4 2 3'
_cell_length_a 7.4156
_cell_length_b 7.4156
_cell_length_c 7.4156
_cell_angle_alpha 90.00
_cell_angle_beta 90.00
_cell_angle_gamma 90.00
loop_
_atom_site_label
_atom_site_type_symbol
_atom_site_fract_x
_atom_site_fract_y
_atom_site_fract_z
_atom_site_occupancy
Dy1 Dy 0.0000 0.0000 0.0000 1
Er1 Er 0.0000 0.0000 0.5000 1
Tl1 Tl 0.2500 0.2500 0.2500 1
# Calculated formation energy   -155 kJ/mol of formula units

***

No. 7
# PBEsol DyErZn2, optimized geometry
data_DyErZn2
_space_group_name_H-M_alt 'F m -3 m'
_space_group_IT_number 225
_space_group_name_Hall '-F 4 2 3'
_cell_length_a 6.9740
_cell_length_b 6.9740
_cell_length_c 6.9740
_cell_angle_alpha 90.00
_cell_angle_beta 90.00
_cell_angle_gamma 90.00
loop_
_atom_site_label
_atom_site_type_symbol
_atom_site_fract_x
_atom_site_fract_y
_atom_site_fract_z
_atom_site_occupancy
Dy1 Dy 0.0000 0.0000 0.0000 1
Er1 Er 0.0000 0.0000 0.5000 1
Zn1 Zn 0.2500 0.2500 0.2500 1
# Calculated formation energy   -132 kJ/mol of formula units

***

No. 8
# PBEsol Eu2DySbO6, optimized geometry
data_Eu2DySbO6
_space_group_name_H-M_alt 'F m -3 m'
_space_group_IT_number 225
_space_group_name_Hall '-F 4 2 3'
_cell_length_a 8.2811
_cell_length_b 8.2811
_cell_length_c 8.2811
_cell_angle_alpha 90.00
_cell_angle_beta 90.00
_cell_angle_gamma 90.00
loop_
_atom_site_label
_atom_site_type_symbol
_atom_site_fract_x
_atom_site_fract_y
_atom_site_fract_z
_atom_site_occupancy
Eu1 Eu 0.2500 0.2500 0.2500 1
Dy1 Dy 0.0000 0.0000 0.0000 1
Sb1 Sb 0.0000 0.0000 0.5000 1
O1 O 0.0000 0.0000 0.2620 1
# Uncorrected formation energy   -60.33 kcal/mol of atoms

***

No. 9
# PBEsol Eu2DyTaO6, optimized geometry
data_Eu2DyTaO6
_space_group_name_H-M_alt 'F m -3 m'
_space_group_IT_number 225
_space_group_name_Hall '-F 4 2 3'
_cell_length_a 8.3020
_cell_length_b 8.3020
_cell_length_c 8.3020
_cell_angle_alpha 90.00
_cell_angle_beta 90.00
_cell_angle_gamma 90.00
loop_
_atom_site_label
_atom_site_type_symbol
_atom_site_fract_x
_atom_site_fract_y
_atom_site_fract_z
_atom_site_occupancy
Eu1 Eu 0.2500 0.2500 0.2500 1
Dy1 Dy 0.0000 0.0000 0.0000 1
Ta1 Ta 0.0000 0.0000 0.5000 1
O1 O 0.0000 0.0000 0.2622 1
# Uncorrected formation energy   -71.09 kcal/mol of atoms

***

No. 10
# PBEsol EuDy2S4, optimized geometry
data_EuDy2S4
_space_group_name_H-M_alt 'P n m a'
_space_group_IT_number 62
_space_group_name_Hall '-P 2ac 2n'
_cell_length_a 11.1426
_cell_length_b 3.9449
_cell_length_c 14.0820
_cell_angle_alpha 90.00
_cell_angle_beta 90.00
_cell_angle_gamma 90.00
loop_
_atom_site_label
_atom_site_type_symbol
_atom_site_fract_x
_atom_site_fract_y
_atom_site_fract_z
_atom_site_occupancy
Eu1 Eu 0.2377 0.2500 0.1592 1
Dy1 Dy 0.0639 0.7500 0.3938 1
Dy2 Dy 0.1042 0.7500 0.9001 1
S1 S 0.0045 0.7500 0.7176 1
S2 S 0.0662 0.7500 0.0882 1
S3 S 0.1545 0.2500 0.5134 1
S4 S 0.2259 0.2500 0.8083 1
# Uncorrected formation energy   -50.05 kcal/mol of atoms

***

No. 11
# PBEsol EuDy2Se4, optimized geometry
data_EuDy2Se4
_space_group_name_H-M_alt 'P n m a'
_space_group_IT_number 62
_space_group_name_Hall '-P 2ac 2n'
_cell_length_a 11.6593
_cell_length_b 4.0962
_cell_length_c 14.7447
_cell_angle_alpha 90.00
_cell_angle_beta 90.00
_cell_angle_gamma 90.00
loop_
_atom_site_label
_atom_site_type_symbol
_atom_site_fract_x
_atom_site_fract_y
_atom_site_fract_z
_atom_site_occupancy
Eu1 Eu 0.2385 0.2500 0.1600 1
Dy1 Dy 0.0628 0.7500 0.3958 1
Dy2 Dy 0.1043 0.7500 0.8999 1
Se1 Se 0.0046 0.7500 0.7175 1
Se2 Se 0.0669 0.7500 0.0884 1
Se3 Se 0.1558 0.2500 0.5140 1
Se4 Se 0.2271 0.2500 0.8089 1
# Uncorrected formation energy   -44.82 kcal/mol of atoms

***

No. 12
# PBEsol DyF3, optimized geometry
data_DyF3
_space_group_name_H-M_alt 'P -3 c 1'
_space_group_IT_number 165
_space_group_name_Hall '-P 3 2"c'
_cell_length_a 6.7057
_cell_length_b 6.7057
_cell_length_c 6.9061
_cell_angle_alpha 90.00
_cell_angle_beta 90.00
_cell_angle_gamma 120.00
loop_
_atom_site_label
_atom_site_type_symbol
_atom_site_fract_x
_atom_site_fract_y
_atom_site_fract_z
_atom_site_occupancy
Dy1 Dy 0.0000 0.3461 0.2500 1
F1 F 0.0000 0.0000 0.2500 1
F2 F 0.0676 0.3746 0.9209 1
F3 F 0.3333 0.6667 0.1811 1
# Uncorrected formation energy   -96.35 kcal/mol of atoms

***

What are the raw total energy values for these records? In order: -4.97; -4.95; -8.03; -7.86; -5.53; -4.19; -3.61; -8.83; -10.10; -7.61; -7.08; -6.87 eV/atom.